No. 1
Crystalline SeIBr2 at its relaxed geometry. Source: the Alexandria database, functional PBE.

The uncorrected formation energy comes out at 18 kJ/mol of atoms. The total energy is -0.070 Ha/atom.

a = 3.5018 Å, b = 3.5018 Å, c = 40.2267 Å
α = 90.00°, β = 90.00°, γ = 120.00°
Space group R-3m (No. 166, hexagonal axes)
Symmetry-distinct sites (fractional):
Se 0.0000 0.0000 0.0000 x3
I 0.0000 0.0000 0.5000 x3
Br 0.0000 0.0000 0.0606 x6

=====

No. 2
Crystalline PmAlGeBr at its relaxed geometry. Source: the Alexandria database, functional PBE.

The uncorrected formation energy comes out at -89 kJ/mol of atoms. The total energy is -0.170 Ha/atom.

a = 4.2763 Å, b = 4.2763 Å, c = 41.6122 Å
α = 90.00°, β = 90.00°, γ = 120.00°
Space group R-3m (No. 166, hexagonal axes)
Symmetry-distinct sites (fractional):
Pm 0.0000 0.0000 0.0801 x6
Al 0.0000 0.0000 0.3100 x6
Ge 0.0000 0.0000 0.3715 x6
Br 0.0000 0.0000 0.2106 x6

=====

No. 3
Crystalline Pm5GeC at its relaxed geometry. Source: the Alexandria database, functional PBE.

For the formation energy, the calculation gives -150.6 meV/atom. The total energy is -0.203 Ha/atom.

a = 11.882 Å, b = 7.859 Å, c = 9.905 Å
α = 90.00°, β = 114.28°, γ = 90.00°
Space group C2/c (No. 15)
Symmetry-distinct sites (fractional):
Pm 0.000 0.057 0.250 x4
Pm 0.073 0.301 0.981 x8
Pm 0.223 0.092 0.635 x8
Ge 0.000 0.423 0.250 x4
C 0.000 0.000 0.000 x4

=====

No. 4
Crystalline SrCaPb2 at its relaxed geometry. Source: the Alexandria database, functional PBE.

For the formation energy, the calculation gives -502.3 meV/atom. The total energy is -0.120 Ha/atom.

a = 5.800 Å, b = 5.800 Å, c = 3.920 Å
α = 90.00°, β = 90.00°, γ = 90.00°
Space group P4/mmm (No. 123)
Symmetry-distinct sites (fractional):
Sr 0.000 0.000 0.000 x1
Ca 0.500 0.500 0.000 x1
Pb 0.000 0.500 0.500 x2

=====

No. 5
Crystalline Sr3WC at its relaxed geometry. Source: the Alexandria database, functional PBE.

For the formation energy, the calculation gives 2135.0 meV/atom. The total energy is -0.122 Ha/atom.

a = 5.747 Å, b = 5.747 Å, c = 5.747 Å
α = 90.00°, β = 90.00°, γ = 90.00°
Space group Pm-3m (No. 221)
Symmetry-distinct sites (fractional):
Sr 0.000 0.000 0.500 x3
W 0.000 0.000 0.000 x1
C 0.500 0.500 0.500 x1

=====

No. 6
Crystalline TcMoAs at its relaxed geometry. Source: the Alexandria database, functional PBE.

For the formation energy, the calculation gives -35.7 meV/atom. The total energy is -0.318 Ha/atom.

a = 3.006 Å, b = 3.006 Å, c = 9.895 Å
α = 90.00°, β = 90.00°, γ = 90.00°
Space group I4mm (No. 107)
Symmetry-distinct sites (fractional):
Tc 0.000 0.000 0.000 x2
Mo 0.000 0.000 0.682 x2
As 0.000 0.000 0.351 x2

=====

No. 7
Crystalline BiN2F5 at its relaxed geometry. Source: the Alexandria database, functional PBE.

The uncorrected formation energy comes out at -128 kJ/mol of atoms. The total energy is -0.186 Ha/atom.

a = 4.355 Å, b = 6.471 Å, c = 6.515 Å
α = 89.39°, β = 71.03°, γ = 71.49°
Space group P1 (No. 1)
Symmetry-distinct sites (fractional):
Bi 0.000 0.000 0.000 x1
N 0.133 0.491 0.457 x1
N 0.859 0.506 0.542 x1
F 0.159 0.671 0.986 x1
F 0.169 0.981 0.672 x1
F 0.500 0.000 0.000 x1
F 0.834 0.019 0.328 x1
F 0.839 0.329 0.014 x1

=====

No. 8
Crystalline Sm4Mg at its relaxed geometry. Source: the Alexandria database, functional PBE.

For the formation energy, the calculation gives -25.4 meV/atom. The total energy is -0.151 Ha/atom.

a = 3.654 Å, b = 3.654 Å, c = 23.833 Å
α = 90.00°, β = 90.00°, γ = 90.00°
Space group I4/mmm (No. 139)
Symmetry-distinct sites (fractional):
Sm 0.000 0.000 0.091 x4
Sm 0.000 0.000 0.304 x4
Mg 0.000 0.000 0.500 x2

=====

Question: total energy of number 8 (Sm4Mg)?
Answer: -0.151 Ha/atom